Density functional theory data (PBE-GGA) for Ho8Sn2Pt after structural relaxation.

Cell lengths 4.948, 6.665, 9.930 Å; angles 103.94, 104.43, 90.00 degrees
Sites, in units of the cell vectors:
Sn (0.182, 0.761, 0.364)
Ho (0.781, 0.676, 0.563)
Ho (0.591, 0.464, 0.183)
Ho (0.353, 0.997, 0.705)
Pt (0.500, 0.000, 0.000)
Ho (0.980, 0.218, 0.960)
Ho (0.409, 0.536, 0.817)
Ho (0.020, 0.782, 0.040)
Ho (0.219, 0.324, 0.437)
Sn (0.818, 0.239, 0.636)
Ho (0.647, 0.003, 0.295)

The magnetic moment comes out at 0.00 μB per atom.

---

Density functional theory data (PBE-GGA) for Y2Er5Tm after structural relaxation.

Cell lengths 4.970, 7.040, 14.081 Å; angles 90.00, 90.00, 90.00 degrees
Sites, in units of the cell vectors:
Er (0.000, 0.501, 0.250)
Er (0.000, 0.499, 0.750)
Er (0.500, 0.251, 0.375)
Y (0.500, 0.751, 0.375)
Y (0.500, 0.251, 0.125)
Y (0.500, 0.249, 0.625)
Er (0.500, 0.249, 0.875)
Er (0.500, 0.751, 0.125)
Er (0.000, 0.999, 0.750)
Er (0.000, 0.500, 0.500)
Y (0.500, 0.749, 0.875)
Er (0.500, 0.749, 0.625)
Er (0.000, 0.000, 0.000)
Tm (0.000, 0.500, 0.000)
Er (0.000, 0.001, 0.250)
Tm (0.000, 0.000, 0.500)

Its energy above the most stable polymorph in this dataset is 0.0 kJ per mole of atoms. The magnetic moment comes out at 0.00 μB per atom.

---

Density functional theory data (PBE-GGA) for Tb3Pm12Mg after structural relaxation.

Cell lengths 5.096, 5.096, 20.480 Å; angles 90.00, 90.00, 90.00 degrees
Sites, in units of the cell vectors:
Pm (0.000, 0.500, 0.123)
Pm (0.500, 0.500, 0.754)
Pm (0.500, 0.500, 0.000)
Mg (0.000, 0.000, 0.000)
Pm (0.500, 0.000, 0.123)
Pm (0.000, 0.500, 0.626)
Tb (0.000, 0.000, 0.248)
Pm (0.000, 0.500, 0.374)
Pm (0.500, 0.000, 0.626)
Pm (0.500, 0.000, 0.374)
Pm (0.500, 0.500, 0.500)
Pm (0.000, 0.500, 0.877)
Tb (0.000, 0.000, 0.500)
Pm (0.500, 0.500, 0.246)
Pm (0.500, 0.000, 0.877)
Tb (0.000, 0.000, 0.752)

The magnetic moment comes out at 0.00 μB per atom.

---

Density functional theory data (PBE-GGA) for Ac2LaHg2 after structural relaxation.

Cell lengths 3.949, 4.009, 11.342 Å; angles 79.82, 90.00, 90.00 degrees
Each line ends with the local moment (μB).
Sites, in units of the cell vectors:
Ac (0.000, 0.174, 0.652)  0.14
Hg (0.500, 0.416, 0.168)  0.01
La (0.000, 0.000, 0.000)  0.12
Hg (0.500, 0.584, 0.832)  0.01
Ac (0.000, 0.826, 0.348)  0.14

Its energy above the most stable polymorph in this dataset is 0.6 kJ per mole of atoms. The magnetic moment comes out at 0.22 μB per atom.

---

Density functional theory data (PBE-GGA) for LiPuTh2Te4 after structural relaxation.

Cell lengths 4.340, 7.565, 7.803 Å; angles 108.57, 90.00, 90.00 degrees
Each line ends with the local moment (μB).
Sites, in units of the cell vectors:
Te (0.000, 0.245, 0.764)  -0.03
Th (0.000, 0.500, 0.500)  0.04
Li (0.000, 0.000, 0.000)  0.00
Pu (0.500, 0.500, 0.000)  5.48
Te (0.500, 0.236, 0.234)  -0.01
Te (0.000, 0.755, 0.236)  -0.03
Th (0.500, 0.000, 0.500)  0.00
Te (0.500, 0.764, 0.766)  -0.01

As for the formation energy (no corrections): -103.3 kJ/mol of atoms. The magnetic moment comes out at 0.72 μB per atom.

---

Density functional theory data (PBE-GGA) for Mg2Ag2Pt after structural relaxation.

Cell lengths 7.540, 7.540, 3.116 Å; angles 90.00, 90.00, 90.00 degrees
Sites, in units of the cell vectors:
Ag (0.129, 0.371, 0.000)
Ag (0.871, 0.629, 0.000)
Ag (0.371, 0.871, 0.000)
Ag (0.629, 0.129, 0.000)
Mg (0.674, 0.826, 0.500)
Mg (0.826, 0.326, 0.500)
Mg (0.326, 0.174, 0.500)
Pt (0.000, 0.000, 0.000)
Mg (0.174, 0.674, 0.500)
Pt (0.500, 0.500, 0.000)

Its energy above the most stable polymorph in this dataset is 0.0 kJ per mole of atoms. The magnetic moment comes out at 0.00 μB per atom.

---

Density functional theory data (PBE-GGA) for AcCeLu after structural relaxation.

Cell lengths 3.698, 3.698, 7.964 Å; angles 103.42, 103.42, 90.00 degrees
Each line ends with the local moment (μB).
Sites, in units of the cell vectors:
Ac (0.997, 0.997, 0.995)  0.01
Ce (0.327, 0.327, 0.653)  0.62
Lu (0.676, 0.676, 0.352)  0.04

Its energy above the most stable polymorph in this dataset is 0.0 kJ per mole of atoms. The magnetic moment comes out at 0.28 μB per atom.

---

Density functional theory data (PBE-GGA) for NdPa2BeO8 after structural relaxation.

Cell lengths 4.931, 4.931, 6.630 Å; angles 90.00, 90.00, 120.00 degrees
Sites, in units of the cell vectors:
Be (0.000, 0.000, 0.000)
Pa (0.333, 0.667, 0.858)
O (0.667, 0.333, 0.437)
O (0.835, 0.671, 0.837)
O (0.165, 0.835, 0.163)
O (0.329, 0.165, 0.837)
O (0.835, 0.165, 0.837)
O (0.333, 0.667, 0.563)
O (0.165, 0.329, 0.163)
Nd (0.000, 0.000, 0.500)
O (0.671, 0.835, 0.163)
Pa (0.667, 0.333, 0.142)

As for the formation energy (no corrections): -272.9 kJ/mol of atoms. The magnetic moment comes out at 0.00 μB per atom.

---

Density functional theory data (PBE-GGA) for NaCoS2 after structural relaxation.

Cell lengths 6.513, 6.513, 5.887 Å; angles 56.41, 56.41, 90.00 degrees
Sites, in units of the cell vectors:
S (0.375, 0.279, 0.750)
S (0.875, 0.971, 0.750)
Co (0.750, 0.250, 0.500)
S (0.721, 0.125, 0.250)
Na (0.500, 0.500, 0.000)
Na (0.250, 0.750, 0.500)
S (0.029, 0.625, 0.250)
Co (0.000, 0.000, 0.000)

As for the formation energy (no corrections): -54.6 kJ/mol of atoms. The magnetic moment comes out at 0.00 μB per atom.

---

Density functional theory data (PBE-GGA) for TlCr2Pb after structural relaxation.

Cell lengths 5.806, 5.806, 5.806 Å; angles 138.56, 138.56, 60.05 degrees
Each line ends with the local moment (μB).
Sites, in units of the cell vectors:
Cr (0.000, 0.000, 0.000)  3.43
Cr (0.250, 0.750, 0.500)  3.53
Pb (0.500, 0.500, 0.000)  -0.14
Tl (0.750, 0.250, 0.500)  -0.07

Its energy above the most stable polymorph in this dataset is 27.0 kJ per mole of atoms. The magnetic moment comes out at 1.82 μB per atom.

---

Density functional theory data (PBE-GGA) for BaFeRu after structural relaxation.

Cell lengths 9.760, 4.786, 4.892 Å; angles 60.72, 95.99, 90.05 degrees
Each line ends with the local moment (μB).
Sites, in units of the cell vectors:
Ru (0.130, 0.365, 0.071)  0.17
Ba (0.363, 0.816, 0.169)  -0.03
Ru (0.036, 0.875, 0.049)  0.17
Fe (0.083, 0.871, 0.560)  2.29
Fe (0.083, 0.368, 0.560)  2.29
Ba (0.803, 0.423, 0.952)  -0.03

Its energy above the most stable polymorph in this dataset is 1.5 kJ per mole of atoms. The magnetic moment comes out at 0.81 μB per atom.

---

Density functional theory data (PBE-GGA) for Fe2I6Br after structural relaxation.

Cell lengths 7.374, 11.239, 11.238 Å; angles 80.31, 91.40, 91.40 degrees
Each line ends with the local moment (μB).
Sites, in units of the cell vectors:
I (0.312, 0.778, 0.946)  0.24
I (0.839, 0.564, 0.119)  0.12
I (0.688, 0.222, 0.054)  0.24
Fe (0.800, 0.794, 0.641)  3.43
I (0.812, 0.946, 0.778)  0.24
I (0.661, 0.881, 0.436)  0.12
I (0.631, 0.589, 0.732)  0.19
Br (0.250, 0.277, 0.723)  -0.05
I (0.339, 0.119, 0.564)  0.12
I (0.369, 0.411, 0.268)  0.19
I (0.188, 0.054, 0.222)  0.24
I (0.161, 0.436, 0.881)  0.12
I (0.131, 0.732, 0.589)  0.19
Br (0.750, 0.723, 0.277)  -0.05
I (0.869, 0.268, 0.411)  0.19
Fe (0.700, 0.359, 0.206)  3.43
Fe (0.200, 0.206, 0.359)  3.43
Fe (0.300, 0.641, 0.794)  3.43

As for the formation energy (no corrections): -10.5 kJ/mol of atoms. The magnetic moment comes out at 1.00 μB per atom.

---

| no. | uncorrected energy (eV for the cell shown) |
| --- | --- |
| 1 | -56.4 |
| 2 | -80.1 |
| 3 | -72.3 |
| 4 | -15.3 |
| 5 | -52.2 |
| 6 | -31.7 |
| 7 | -14.2 |
| 8 | -101.1 |
| 9 | -37.9 |
| 10 | -22.5 |
| 11 | -37.2 |
| 12 | -57.7 |